{
  "formula": "LaTaMnW2",
  "functional": "GGA-PBE",
  "state": "relaxed",
  "cell": [[4.600, 0.000, 0.000], [0.000, 4.600, 0.000], [0.000, 0.000, 4.843]],
  "species": ["La", "Ta", "Mn", "W", "W"],
  "fractional_positions": [[0.000, 0.000, 0.000], [0.500, 0.500, 0.000], [0.000, 0.000, 0.500], [0.000, 0.500, 0.500], [0.500, 0.000, 0.500]],
  "e_form_ev_per_atom": 1.342,
  "dos_at_fermi_per_ev_atom": 1.0982,
  "e_tot_ev_per_atom": -9.029
}